Entry from Alexandria: a geometry-optimized ZnInAg2 structure (GGA-PBE).

Geometry as CIF:
```
data_ZnInAg2
_symmetry_space_group_name_H-M 'I -4 2 d'
_symmetry_Int_Tables_number 122
_symmetry_space_group_name_Hall 'I -4 2bw'
_cell_length_a 7.679
_cell_length_b 7.679
_cell_length_c 5.611
_cell_angle_alpha 90.00
_cell_angle_beta 90.00
_cell_angle_gamma 90.00
loop_
_atom_site_label
_atom_site_type_symbol
_atom_site_fract_x
_atom_site_fract_y
_atom_site_fract_z
Zn1 Zn 0.000 0.000 0.000
In1 In 0.000 0.000 0.500
Ag1 Ag 0.220 0.250 0.125
```

Calculated formation energy: 0.7 eV/f.u.



Entry from Alexandria: a geometry-optimized Co3ReSn structure (GGA-PBE).

Geometry as CIF:
```
data_Co3ReSn
_symmetry_space_group_name_H-M 'P m -3 m'
_symmetry_Int_Tables_number 221
_symmetry_space_group_name_Hall '-P 4 2 3'
_cell_length_a 4.482
_cell_length_b 4.482
_cell_length_c 4.482
_cell_angle_alpha 90.00
_cell_angle_beta 90.00
_cell_angle_gamma 90.00
loop_
_atom_site_label
_atom_site_type_symbol
_atom_site_fract_x
_atom_site_fract_y
_atom_site_fract_z
Co1 Co 0.000 0.000 0.500
Re1 Re 0.000 0.000 0.000
Sn1 Sn 0.500 0.500 0.500
```

Calculated formation energy: 6.3 eV/f.u.



Entry from Alexandria: a geometry-optimized Na2ReAu structure (GGA-PBE).

Geometry as CIF:
```
data_Na2ReAu
_symmetry_space_group_name_H-M 'F m -3 m'
_symmetry_Int_Tables_number 225
_symmetry_space_group_name_Hall '-F 4 2 3'
_cell_length_a 6.865
_cell_length_b 6.865
_cell_length_c 6.865
_cell_angle_alpha 90.00
_cell_angle_beta 90.00
_cell_angle_gamma 90.00
loop_
_atom_site_label
_atom_site_type_symbol
_atom_site_fract_x
_atom_site_fract_y
_atom_site_fract_z
Na1 Na 0.250 0.250 0.250
Re1 Re 0.000 0.000 0.000
Au1 Au 0.000 0.000 0.500
```

Calculated formation energy: 4.7 eV/f.u.



Entry from Alexandria: a geometry-optimized MnSiRh2 structure (GGA-PBE).

Geometry as CIF:
```
data_MnSiRh2
_symmetry_space_group_name_H-M 'R 3 m'
_symmetry_Int_Tables_number 160
_symmetry_space_group_name_Hall 'R 3 -2"'
_cell_length_a 2.7325
_cell_length_b 2.7325
_cell_length_c 24.3462
_cell_angle_alpha 90.00
_cell_angle_beta 90.00
_cell_angle_gamma 120.00
loop_
_atom_site_label
_atom_site_type_symbol
_atom_site_fract_x
_atom_site_fract_y
_atom_site_fract_z
Mn1 Mn 0.0000 0.0000 0.0000
Si1 Si 0.0000 0.0000 0.2554
Rh1 Rh 0.0000 0.0000 0.5122
Rh2 Rh 0.0000 0.0000 0.7488
```

Calculated total energy: -7.54 eV per atom



Entry from Alexandria: a geometry-optimized Cu3TeF structure (GGA-PBE).

Geometry as CIF:
```
data_Cu3TeF
_symmetry_space_group_name_H-M 'P m -3 m'
_symmetry_Int_Tables_number 221
_symmetry_space_group_name_Hall '-P 4 2 3'
_cell_length_a 4.836
_cell_length_b 4.836
_cell_length_c 4.836
_cell_angle_alpha 90.00
_cell_angle_beta 90.00
_cell_angle_gamma 90.00
loop_
_atom_site_label
_atom_site_type_symbol
_atom_site_fract_x
_atom_site_fract_y
_atom_site_fract_z
Cu1 Cu 0.000 0.000 0.500
Te1 Te 0.000 0.000 0.000
F1 F 0.500 0.500 0.500
```

Calculated total energy: -3.33 eV per atom



Entry from Alexandria: a geometry-optimized ZnIr2N structure (GGA-PBE).

Geometry as CIF:
```
data_ZnIr2N
_symmetry_space_group_name_H-M 'I -4 2 d'
_symmetry_Int_Tables_number 122
_symmetry_space_group_name_Hall 'I -4 2bw'
_cell_length_a 6.387
_cell_length_b 6.387
_cell_length_c 5.510
_cell_angle_alpha 90.00
_cell_angle_beta 90.00
_cell_angle_gamma 90.00
loop_
_atom_site_label
_atom_site_type_symbol
_atom_site_fract_x
_atom_site_fract_y
_atom_site_fract_z
Zn1 Zn 0.000 0.000 0.000
Ir1 Ir 0.134 0.250 0.625
N1 N 0.000 0.000 0.500
```

Calculated total energy: -6.44 eV per atom



Entry from Alexandria: a geometry-optimized PmNiC structure (GGA-PBE).

Geometry as CIF:
```
data_PmNiC
_symmetry_space_group_name_H-M 'C m m m'
_symmetry_Int_Tables_number 65
_symmetry_space_group_name_Hall '-C 2 2'
_cell_length_a 4.494
_cell_length_b 12.300
_cell_length_c 3.585
_cell_angle_alpha 90.00
_cell_angle_beta 90.00
_cell_angle_gamma 90.00
loop_
_atom_site_label
_atom_site_type_symbol
_atom_site_fract_x
_atom_site_fract_y
_atom_site_fract_z
Pm1 Pm 0.000 0.149 0.000
Ni1 Ni 0.000 0.403 0.500
C1 C 0.153 0.000 0.500
```

Calculated formation energy: -0.3 eV/f.u.



Entry from Alexandria: a geometry-optimized Ga2Hg2S5 structure (GGA-PBE).

Geometry as CIF:
```
data_Ga2Hg2S5
_symmetry_space_group_name_H-M 'C 1 2/m 1'
_symmetry_Int_Tables_number 12
_cell_length_a 19.292
_cell_length_b 3.874
_cell_length_c 6.646
_cell_angle_alpha 90.00
_cell_angle_beta 103.67
_cell_angle_gamma 90.00
loop_
_symmetry_equiv_pos_as_xyz
'x,y,z'
'-x,-y,-z'
'-x,y,-z'
'x,-y,z'
'x+1/2,y+1/2,z'
'-x+1/2,-y+1/2,-z'
'-x+1/2,y+1/2,-z'
'x+1/2,-y+1/2,z'
loop_
_atom_site_label
_atom_site_type_symbol
_atom_site_fract_x
_atom_site_fract_y
_atom_site_fract_z
Ga1 Ga 0.112 0.000 0.393
Hg1 Hg 0.080 0.500 0.813
S1 S 0.000 0.000 0.500
S2 S 0.117 0.000 0.060
S3 S 0.166 0.500 0.556
```

Calculated total energy: -3.31 eV per atom



Entry from Alexandria: a geometry-optimized HgBi2HPb structure (GGA-PBE).

Geometry as CIF:
```
data_HgBi2HPb
_symmetry_space_group_name_H-M 'P 4/m m m'
_symmetry_Int_Tables_number 123
_symmetry_space_group_name_Hall '-P 4 2'
_cell_length_a 6.125
_cell_length_b 6.125
_cell_length_c 3.557
_cell_angle_alpha 90.00
_cell_angle_beta 90.00
_cell_angle_gamma 90.00
loop_
_atom_site_label
_atom_site_type_symbol
_atom_site_fract_x
_atom_site_fract_y
_atom_site_fract_z
Hg1 Hg 0.000 0.000 0.000
Bi1 Bi 0.000 0.500 0.000
H1 H 0.000 0.000 0.500
Pb1 Pb 0.500 0.500 0.500
```

Calculated total energy: -2.81 eV per atom



Entry from Alexandria: a geometry-optimized K3PuAg2Cl9 structure (GGA-PBE).

Geometry as CIF:
```
data_K3PuAg2Cl9
_symmetry_space_group_name_H-M 'P -3 m 1'
_symmetry_Int_Tables_number 164
_symmetry_space_group_name_Hall '-P 3 2"'
_cell_length_a 7.5052
_cell_length_b 7.5052
_cell_length_c 9.4162
_cell_angle_alpha 90.00
_cell_angle_beta 90.00
_cell_angle_gamma 120.00
loop_
_atom_site_label
_atom_site_type_symbol
_atom_site_fract_x
_atom_site_fract_y
_atom_site_fract_z
K1 K 0.0000 0.0000 0.0000
K2 K 0.3333 0.6667 0.7513
Pu1 Pu 0.0000 0.0000 0.5000
Ag1 Ag 0.3333 0.6667 0.1607
Cl1 Cl 0.0000 0.5000 0.0000
Cl2 Cl 0.1623 0.3247 0.3349
```

Calculated total energy: -4.12 eV per atom



Entry from Alexandria: a geometry-optimized Rh2C structure (GGA-PBE).

Geometry as CIF:
```
data_Rh2C
_symmetry_space_group_name_H-M 'P n m a'
_symmetry_Int_Tables_number 62
_cell_length_a 4.813
_cell_length_b 3.972
_cell_length_c 7.820
_cell_angle_alpha 90.00
_cell_angle_beta 90.00
_cell_angle_gamma 90.00
loop_
_symmetry_equiv_pos_as_xyz
'x,y,z'
'-x,-y,-z'
'-x+1/2,-y,z+1/2'
'x+1/2,y,-z+1/2'
'x+1/2,-y+1/2,-z+1/2'
'-x+1/2,y+1/2,z+1/2'
'-x,y+1/2,-z'
'x,-y+1/2,z'
loop_
_atom_site_label
_atom_site_type_symbol
_atom_site_fract_x
_atom_site_fract_y
_atom_site_fract_z
Rh1 Rh 0.019 0.250 0.118
Rh2 Rh 0.050 0.750 0.368
C1 C 0.152 0.750 0.118
```

Calculated formation energy: 0.9 eV/f.u.



Entry from Alexandria: a geometry-optimized HoCoC structure (GGA-PBE).

Geometry as CIF:
```
data_HoCoC
_symmetry_space_group_name_H-M 'I m m a'
_symmetry_Int_Tables_number 74
_symmetry_space_group_name_Hall '-I 2b 2'
_cell_length_a 5.657
_cell_length_b 7.094
_cell_length_c 4.659
_cell_angle_alpha 90.00
_cell_angle_beta 90.00
_cell_angle_gamma 90.00
loop_
_atom_site_label
_atom_site_type_symbol
_atom_site_fract_x
_atom_site_fract_y
_atom_site_fract_z
Ho1 Ho 0.000 0.000 0.000
Co1 Co 0.000 0.250 0.476
C1 C 0.250 0.250 0.250
```

Calculated formation energy: -0.4 eV/f.u.



Entry from Alexandria: a geometry-optimized Ni2WCl structure (GGA-PBE).

Geometry as CIF:
```
data_Ni2WCl
_symmetry_space_group_name_H-M 'P 4/m m m'
_symmetry_Int_Tables_number 123
_symmetry_space_group_name_Hall '-P 4 2'
_cell_length_a 3.605
_cell_length_b 3.605
_cell_length_c 4.129
_cell_angle_alpha 90.00
_cell_angle_beta 90.00
_cell_angle_gamma 90.00
loop_
_atom_site_label
_atom_site_type_symbol
_atom_site_fract_x
_atom_site_fract_y
_atom_site_fract_z
Ni1 Ni 0.000 0.500 0.000
W1 W 0.000 0.000 0.500
Cl1 Cl 0.500 0.500 0.500
```

Calculated total energy: -5.58 eV per atom